Here is ZrZn2Si at its PBEsol-relaxed geometry from the Alexandria database. Energies are from SCAN.

```
ZrZn2Si
1.0
3.881 0.000 0.000
0.000 3.881 0.000
0.000 0.000 4.096
Zn Si Zr
2 1 1
direct
0.500 0.000 0.000
0.000 0.500 0.000
0.000 0.000 0.500
0.500 0.500 0.500
```

Uncorrected energy = -69.4 eV/cell
D(E_F) = 1.05 states/eV per cell
Total magnetization = 0.00 μB per formula unit


Here is ZrZnSi2 at its PBEsol-relaxed geometry from the Alexandria database. Energies are from SCAN.

```
ZrZnSi2
1.0
2.905 0.000 0.000
0.000 4.804 -0.025
0.000 -1.367 4.606
Zn Si Zr
1 2 1
direct
0.500 0.000 0.000
0.000 0.500 0.000
0.000 0.000 0.500
0.500 0.500 0.500
```

Uncorrected energy = -64.6 eV/cell
D(E_F) = 1.51 states/eV per cell
Total magnetization = 0.00 μB per formula unit


| no. | uncorrected formation energy (eV per atom) |
| --- | --- |
| 1 | -0.42 |
| 2 | -0.09 |